1.
ZrRe3 | SCAN | single point on PBEsol structure

Unit cell a=2.793 b=2.793 c=9.453 alpha=90.00 beta=90.00 gamma=120.00
Positions (direct):
Re 0.333 0.667 0.271
Re 0.333 0.667 0.729
Re 0.000 0.000 0.500
Zr 0.000 0.000 0.000

Properties
Space group = P-6m2 (187)

***

2.
ZrRe | SCAN | single point on PBEsol structure

Unit cell a=2.855 b=2.855 c=4.495 alpha=90.00 beta=90.00 gamma=111.25
Positions (direct):
Re 0.000 0.000 0.500
Zr 0.500 0.500 0.000

Properties
Space group = Cmmm (65)

***

no.,volume (Å³/atom),total energy (eV/atom),calculated density (g cm⁻³)
1,16.0,-60.80,16.9
2,17.1,-51.00,13.5